# 1
Density functional theory data (meta-GGA SCAN) for SrHf2Co2 at its PBEsol-relaxed geometry.

a b c (Å): 4.549 4.549 6.069
angles (deg): 112.01 112.01 90.00
Last column: magnetic moment on the atom in μB.
Positions (direct):
Co: 0.250 0.750 0.500  -0.66
Hf: 0.661 0.661 0.322  0.42
Sr: 0.000 0.000 0.000  0.03
Co: 0.750 0.250 0.500  -0.66
Hf: 0.339 0.339 0.678  0.42

Properties
Space-group type   No. 139



# 2
Density functional theory data (meta-GGA SCAN) for CuTcP at its PBEsol-relaxed geometry.

a b c (Å): 2.958 2.958 4.778
angles (deg): 108.03 108.03 90.00
Last column: magnetic moment on the atom in μB.
Positions (direct):
Cu: 0.010 0.010 0.021  0.14
Tc: 0.315 0.315 0.630  0.65
P: 0.675 0.675 0.349  -0.02

Properties
Space-group type   No. 107
Polymorph energy (0 for the lowest one)   0.0 meV per atom



Summary of energy in eV per atom
-36.1559; -20.2670
(order as listed above)
Summary of total magnetic moment in μB/atom
0.008; 0.260
(order as listed above)